KIn4Hg8: optimized geometry, PBE.

a = 10.7171 Å, b = 10.7171 Å, c = 6.3631 Å
α = 90.00°, β = 90.00°, γ = 90.00°
Closest atoms and distances in Å follow each position.
Space group I4/mmm (No. 139)
Inequivalent atoms, fractional coordinates:
K 0.0000 0.0000 0.0000  12 Hg 3.80-3.92, 8 In 4.11
In 0.2500 0.2500 0.2500  8 Hg 3.14-3.31, 2 In 3.18
Hg 0.0000 0.2139 0.5000  4 In 3.14, 4 Hg 3.24-3.44
Hg 0.0000 0.3543 0.0000  3 Hg 3.12-3.44, 4 In 3.31

Output
For the formation energy, the calculation gives -0.046 eV per atom. The value obtained for the energy above the most stable polymorph in this dataset is 0.005 eV/atom. The magnetic moment comes out at 0.00 μB per formula unit.